First-principles (PBE) data for an optimized crystal structure of CaCeNi2, as listed in Alexandria via LeMat-Bulk.

a = 4.528 Å, b = 4.528 Å, c = 5.441 Å
α = 65.41°, β = 65.41°, γ = 60.00°
Fractional positions:
Ca1 0.000 0.000 0.000
Ce1 0.500 0.500 0.500
Ni1 0.790 0.790 0.629
Ni2 0.210 0.210 0.371

Energy of formation = -0.162 eV per atom
Magnetic moment = 0.00 μB per formula unit
Energy above the lowest structure with this stoichiometry = 0.052 eV/atom